A plane-wave DFT calculation with PBE was carried out for crystalline Ho5Pt2Pb2 at its relaxed geometry.

Geometry as POSCAR:
```
Ho5Pt2Pb2
1.0
7.330 0.000 0.000
0.000 7.531 -3.871
0.000 -0.230 8.813
Ho Pt Pb
10 4 4
Direct
0.000 0.000 0.000 Ho
0.500 0.500 0.000 Ho
0.848 0.798 0.238 Ho
0.152 0.441 0.238 Ho
0.348 0.941 0.238 Ho
0.652 0.298 0.238 Ho
0.152 0.202 0.762 Ho
0.848 0.559 0.762 Ho
0.652 0.059 0.762 Ho
0.348 0.702 0.762 Ho
0.638 0.873 0.000 Pt
0.362 0.127 0.000 Pt
0.138 0.627 0.000 Pt
0.862 0.373 0.000 Pt
0.000 0.214 0.428 Pb
0.500 0.714 0.428 Pb
0.000 0.786 0.572 Pb
0.500 0.286 0.572 Pb
```

Results
ΔE_f, eV/atom: -0.84
VASP energy, eV/atom: -5.547
DOS at the Fermi energy, states/eV per cell: 11.53
M_tot, μB/atom: 0.0000



A plane-wave DFT calculation with PBE was carried out for crystalline Ho3PtPb at its relaxed geometry.

Geometry as POSCAR:
```
Ho3PtPb
1.0
5.095 0.000 -0.542
0.000 4.519 0.000
-3.135 -2.260 12.004
Ho Pt Pb
6 2 2
Direct
0.662 0.949 0.899 Ho
0.338 0.051 0.101 Ho
0.534 0.665 0.330 Ho
0.466 0.335 0.670 Ho
0.934 0.815 0.630 Ho
0.066 0.185 0.370 Ho
0.666 0.238 0.477 Pt
0.334 0.762 0.523 Pt
0.131 0.431 0.861 Pb
0.869 0.569 0.139 Pb
```

Results
ΔE_f, eV/atom: -0.71
VASP energy, eV/atom: -5.404
DOS at the Fermi energy, states/eV per cell: 5.06
M_tot, μB/atom: 0.0000